Here is an optimized crystal structure of Pm2PF from the Alexandria database. Energies are from PBE.

Output
Its density is 6.91 g cm⁻³. As for the spin magnetization: 0.0 μB per formula unit. The calculation puts the density of states at the Fermi level at 3.12 states/eV/f.u. The value obtained for the energy above the lowest structure with this stoichiometry is 1.52 eV/f.u. The value obtained for the energy relative to the elements, uncorrected is -6.416 eV/f.u. As for the volume: 20.42 A^3/atom.

Unit cell a=3.596 b=4.766 c=4.766 alpha=90.00 beta=90.00 gamma=90.00
Sites, in units of the cell vectors:
Pm  0.000  0.000  0.500
Pm  0.000  0.500  0.000
F  0.500  0.500  0.500
P  0.500  0.000  0.000